[1]
! Ac8La5Mg (PBE, optimized geometry); values from VASP
! DFT total energy in eV per atom: -4.018
! DOS(E_F) in states/eV/f.u.: 21.9
! SG: I-4
&SYSTEM
  ibrav = 0, nat = 14, ntyp = 3
/
ATOMIC_SPECIES
Ac 227.00 Ac.upf
La 138.91 La.upf
Mg 24.30 Mg.upf
ATOMIC_POSITIONS angstrom
Ac 1.998 -0.886 2.666
Ac 3.225 6.109 -2.746
Ac 0.699 3.446 0.951
Ac 4.338 3.225 2.746
Ac -0.699 7.001 0.951
Ac -1.778 4.525 4.461
Ac 0.886 1.998 8.157
Ac 1.778 5.922 4.461
La 0.000 0.000 0.000
La 4.238 3.108 -0.833
La 2.115 -0.985 6.244
La 0.985 2.115 4.579
La 3.108 6.209 0.833
Mg 5.224 0.000 2.706
CELL_PARAMETERS angstrom
-5.224 5.224 5.412
5.224 -5.224 5.412
5.224 5.224 -5.412



[2]
! AcLa7Mg4 (PBE, optimized geometry); values from VASP
! DFT total energy in eV per atom: -3.630
! DOS(E_F) in states/eV/f.u.: 15.9
! SG: C2/m
&SYSTEM
  ibrav = 0, nat = 12, ntyp = 3
/
ATOMIC_SPECIES
Ac 227.00 Ac.upf
La 138.91 La.upf
Mg 24.30 Mg.upf
ATOMIC_POSITIONS angstrom
Ac 0.000 0.000 0.000
La -0.971 0.000 3.599
La -1.486 0.000 7.567
La 2.536 0.000 2.534
La 7.839 0.000 0.000
La 7.931 0.000 6.046
La 11.953 0.000 1.013
La 11.438 0.000 4.981
Mg 1.624 0.000 5.634
Mg 5.725 0.000 2.651
Mg 4.742 0.000 5.929
Mg 8.843 0.000 2.946
CELL_PARAMETERS angstrom
7.839 -3.074 0.000
7.839 3.074 0.000
-5.212 0.000 8.580



[3]
! Ac2La5Mg (PBE, optimized geometry); values from VASP
! DFT total energy in eV per atom: -4.317
! DOS(E_F) in states/eV/f.u.: 9.8
! SG: I4mm
&SYSTEM
  ibrav = 0, nat = 8, ntyp = 3
/
ATOMIC_SPECIES
Ac 227.00 Ac.upf
La 138.91 La.upf
Mg 24.30 Mg.upf
ATOMIC_POSITIONS angstrom
Ac 3.728 0.000 0.000
Ac 0.000 3.728 0.000
La 0.000 0.000 0.003
La 1.862 1.862 7.963
La -1.862 1.862 7.963
La 1.862 -1.862 7.963
La 1.866 1.866 2.654
Mg 0.000 0.000 5.304
CELL_PARAMETERS angstrom
-3.728 3.728 5.309
3.728 -3.728 5.309
3.728 3.728 -5.309



Please write out number 1 again, unchanged.
! Ac8La5Mg (PBE, optimized geometry); values from VASP
! DFT total energy in eV per atom: -4.018
! DOS(E_F) in states/eV/f.u.: 21.9
! SG: I-4
&SYSTEM
  ibrav = 0, nat = 14, ntyp = 3
/
ATOMIC_SPECIES
Ac 227.00 Ac.upf
La 138.91 La.upf
Mg 24.30 Mg.upf
ATOMIC_POSITIONS angstrom
Ac 1.998 -0.886 2.666
Ac 3.225 6.109 -2.746
Ac 0.699 3.446 0.951
Ac 4.338 3.225 2.746
Ac -0.699 7.001 0.951
Ac -1.778 4.525 4.461
Ac 0.886 1.998 8.157
Ac 1.778 5.922 4.461
La 0.000 0.000 0.000
La 4.238 3.108 -0.833
La 2.115 -0.985 6.244
La 0.985 2.115 4.579
La 3.108 6.209 0.833
Mg 5.224 0.000 2.706
CELL_PARAMETERS angstrom
-5.224 5.224 5.412
5.224 -5.224 5.412
5.224 5.224 -5.412



Copy entry 3 word for word.
! Ac2La5Mg (PBE, optimized geometry); values from VASP
! DFT total energy in eV per atom: -4.317
! DOS(E_F) in states/eV/f.u.: 9.8
! SG: I4mm
&SYSTEM
  ibrav = 0, nat = 8, ntyp = 3
/
ATOMIC_SPECIES
Ac 227.00 Ac.upf
La 138.91 La.upf
Mg 24.30 Mg.upf
ATOMIC_POSITIONS angstrom
Ac 3.728 0.000 0.000
Ac 0.000 3.728 0.000
La 0.000 0.000 0.003
La 1.862 1.862 7.963
La -1.862 1.862 7.963
La 1.862 -1.862 7.963
La 1.866 1.866 2.654
Mg 0.000 0.000 5.304
CELL_PARAMETERS angstrom
-3.728 3.728 5.309
3.728 -3.728 5.309
3.728 3.728 -5.309